# 1
{"formula": "TaSbOs2", "functional": "GGA-PBEsol", "state": "relaxed", "cell": [[3.006, 0.000, 0.000], [0.000, 4.681, -0.338], [-1.503, -1.232, 4.727]], "species": ["Os", "Os", "Ta", "Sb"], "fractional_positions": [[0.990, 0.939, 0.979], [0.252, 0.806, 0.503], [0.749, 0.276, 0.499], [0.510, 0.478, 0.019]]}

# 2
{"formula": "TaSbOs2", "functional": "GGA-PBEsol", "state": "relaxed", "cell": [[-1.387, -0.891, -2.546], [-2.506, -2.337, 2.183], [-3.447, 4.108, 0.440]], "species": ["Os", "Os", "Sb", "Ta"], "fractional_positions": [[0.000, 0.000, 0.965], [0.500, 0.500, 0.286], [0.000, 0.000, 0.468], [0.500, 0.500, 0.781]]}

# 3
{"formula": "TaSbOs2", "functional": "GGA-PBEsol", "state": "relaxed", "cell": [[3.602, 0.000, 0.000], [0.000, 4.246, 0.000], [0.000, 0.000, 4.246]], "species": ["Os", "Os", "Ta", "Sb"], "fractional_positions": [[0.000, 0.000, 0.500], [0.000, 0.500, 0.000], [0.500, 0.000, 0.000], [0.500, 0.500, 0.500]]}

Number 1: ΔE_f (raw) 0.92 eV per formula unit. Number 2: ΔE_f (raw) 1.12 eV per formula unit. Number 3: ΔE_f (raw) 0.96 eV per formula unit.